Record 1
{"formula": "BaNdHfZrO6", "functional": "GGA-PBE", "state": "optimized geometry", "lattice_angstrom": [[0.0000, 4.1890, 4.1890], [4.1890, 0.0000, 4.1890], [4.1890, 4.1890, 0.0000]], "species": ["Nd", "O", "O", "O", "O", "O", "O", "Zr", "Hf", "Ba"], "frac_coords": [[0.7500, 0.7500, 0.7500], [0.2477, 0.7523, 0.7523], [0.7523, 0.7523, 0.2477], [0.2477, 0.7523, 0.2477], [0.7523, 0.2477, 0.2477], [0.2477, 0.2477, 0.7523], [0.7523, 0.2477, 0.7523], [0.5000, 0.5000, 0.5000], [0.0000, 0.0000, 0.0000], [0.2500, 0.2500, 0.2500]], "dos_at_fermi_per_ev_cell": 3.6, "magnetic_moment_mub_per_fu": 0.000, "mass_density_g_cm3": 7.3, "spacegroup": "No. 216", "formation_energy_uncorrected_mev_per_atom": -3100}

Record 2
{"formula": "ReSnB2", "functional": "GGA-PBE", "state": "optimized geometry", "lattice_angstrom": [[5.1142, 0.0000, 0.0000], [0.0000, 5.1142, 0.0000], [2.5571, 2.5571, 4.9860]], "species": ["B", "B", "B", "B", "Sn", "Sn", "Re", "Re"], "frac_coords": [[0.8750, 0.9268, 0.7500], [0.0732, 0.6250, 0.2500], [0.3750, 0.3232, 0.7500], [0.6768, 0.1250, 0.2500], [0.2500, 0.7500, 0.5000], [0.5000, 0.5000, 0.0000], [0.0000, 0.0000, 0.0000], [0.7500, 0.2500, 0.5000]], "dos_at_fermi_per_ev_cell": 3.3, "ef_ev_per_atom": 0.740, "magnetic_moment_mub_per_fu": 0.000, "mass_density_g_cm3": 8.3, "spacegroup": "No. 122"}